## Tb2SmMgRh4 (PBE)

Data for a relaxed structure of Tb2SmMgRh4.

Properties
Energy of formation, eV/atom: -0.74

a b c (Å): 4.7785 4.7785 23.5373
angles (deg): 90.00 90.00 120.00
Last column: nearest neighbours and their distance in Å.
Space group R-3m (No. 166, hexagonal axes)
Unique sites:
Tb1 0.0000 0.0000 0.2438 (multiplicity 6)  7 Rh 2.79-2.96
Sm1 0.0000 0.0000 0.0000 (multiplicity 3)  8 Rh 2.95
Mg1 0.0000 0.0000 0.5000 (multiplicity 3)  8 Rh 2.88-2.93
Rh1 0.0000 0.0000 0.1253 (multiplicity 6)  4 Tb 2.79-2.88, 3 Mg 2.93, 1 Sm 2.95
Rh2 0.0000 0.0000 0.3776 (multiplicity 6)  1 Mg 2.88, 3 Sm 2.95, 4 Tb 2.96-3.15

## Th2TcOsN6 (PBE)

Data for a relaxed structure of Th2TcOsN6.

Properties
Raw formation energy, eV/f.u.: -6.68

a b c (Å): 5.5362 5.7925 9.5277
angles (deg): 90.00 125.52 90.00
Last column: nearest neighbours and their distance in Å.
Space group P2_1/c (No. 14)
Unique sites:
Th1 0.2366 0.0554 0.2501 (multiplicity 4)  6 N 2.40-2.67
Tc1 0.5000 0.0000 0.0000 (multiplicity 2)  6 N 1.99-2.09
Os1 0.0000 0.0000 0.5000 (multiplicity 2)  6 N 1.99-2.08
N1 0.1491 0.2024 0.9549 (multiplicity 4)  1 Os 2.06, 1 Tc 2.09
N2 0.2577 0.7016 0.9540 (multiplicity 4)  1 Tc 2.07, 1 Os 2.08
N3 0.3260 0.0148 0.7499 (multiplicity 4)  1 Os 1.99, 1 Tc 1.99

## Ga5Pb (PBE)

Data for a relaxed structure of Ga5Pb.

Properties
Energy of formation, eV/atom: 0.06

a b c (Å): 4.8440 11.0540 4.8250
angles (deg): 90.00 90.00 90.00
Last column: nearest neighbours and their distance in Å.
Space group Cmmm (No. 65)
Unique sites:
Ga1 0.0000 0.0000 0.0000 (multiplicity 2)  8 Ga 3.10-3.17, 4 Pb 3.42
Ga2 0.0000 0.1765 0.5000 (multiplicity 4)  6 Ga 2.86-3.10, 2 Pb 3.11
Ga3 0.0000 0.3147 0.0000 (multiplicity 4)  4 Ga 2.81-2.86
Pb1 0.0000 0.5000 0.5000 (multiplicity 2)  12 Ga 3.11-3.42

## Ce2FeI (PBE)

Data for a relaxed structure of Ce2FeI.

Properties
Raw formation energy, eV/f.u.: -1.81

a b c (Å): 3.9731 3.9731 23.7509
angles (deg): 90.00 90.00 120.00
Last column: nearest neighbours and their distance in Å.
Space group R-3m (No. 166, hexagonal axes)
Unique sites:
Ce1 0.0000 0.0000 0.2257 (multiplicity 6)  3 Fe 2.69
Fe1 0.0000 0.0000 0.5000 (multiplicity 3)  6 Ce 2.69
I1 0.0000 0.0000 0.0000 (multiplicity 3)  6 Ce 3.43

## AcTlAuO5 (PBE)

Data for a relaxed structure of AcTlAuO5.

Properties
Raw formation energy, eV/f.u.: -9.38

a b c (Å): 8.4535 10.7095 6.5339
angles (deg): 90.00 125.55 90.00
Last column: nearest neighbours and their distance in Å.
Space group C2/c (No. 15)
Unique sites:
Ac1 0.0000 0.1123 0.2500 (multiplicity 4)  7 O 2.55-2.75
Tl1 0.2500 0.2500 0.0000 (multiplicity 4)  6 O 2.19-2.36
Au1 0.0000 0.4453 0.2500 (multiplicity 4)  4 O 2.01-2.03
O1 0.0000 0.1287 0.7500 (multiplicity 4)  2 Tl 2.19
O2 0.1811 0.3110 0.2884 (multiplicity 8)  1 Au 2.01
O3 0.1958 0.4314 0.7830 (multiplicity 8)  1 Au 2.03

## AcTbPuTl (PBE)

Data for a relaxed structure of AcTbPuTl.

Properties
Energy of formation, eV/atom: 0.15

a b c (Å): 7.9321 7.9321 7.9321
angles (deg): 90.00 90.00 90.00
Last column: nearest neighbours and their distance in Å.
Space group F-43m (No. 216)
Unique sites:
Ac1 0.0000 0.0000 0.0000 (multiplicity 4)  4 Pu 3.43, 4 Tb 3.43
Tb1 0.2500 0.2500 0.7500 (multiplicity 4)  4 Ac 3.43, 4 Tl 3.43
Pu1 0.2500 0.2500 0.2500 (multiplicity 4)  4 Ac 3.43, 4 Tl 3.43
Tl1 0.0000 0.0000 0.5000 (multiplicity 4)  4 Tb 3.43, 4 Pu 3.43

## ErCdTe (PBE)

Data for a relaxed structure of ErCdTe.

Properties
Raw formation energy, eV/f.u.: -2.25

a b c (Å): 4.7897 4.7897 29.5309
angles (deg): 90.00 90.00 120.00
Last column: nearest neighbours and their distance in Å.
Space group R-3m (No. 166, hexagonal axes)
Unique sites:
Er1 0.0000 0.0000 0.0631 (multiplicity 6)  3 Te 3.06, 6 Cd 3.28-3.39
Cd1 0.0000 0.0000 0.3300 (multiplicity 6)  3 Cd 2.77, 1 Te 3.08
Te1 0.0000 0.0000 0.2255 (multiplicity 6)  3 Er 3.06, 1 Cd 3.08

## DyErAlIr (PBE)

Data for a relaxed structure of DyErAlIr.

Properties
Energy of formation, eV/atom: -0.58

a b c (Å): 6.9993 6.9993 6.9993
angles (deg): 90.00 90.00 90.00
Last column: nearest neighbours and their distance in Å.
Space group F-43m (No. 216)
Unique sites:
Dy1 0.0000 0.0000 0.0000 (multiplicity 4)  4 Al 3.03, 4 Ir 3.03
Er1 0.0000 0.0000 0.5000 (multiplicity 4)  4 Al 3.03, 4 Ir 3.03
Al1 0.2500 0.2500 0.2500 (multiplicity 4)  4 Dy 3.03, 4 Er 3.03
Ir1 0.2500 0.2500 0.7500 (multiplicity 4)  4 Dy 3.03, 4 Er 3.03

## ZrU (PBE)

Data for a relaxed structure of ZrU.

Properties
Energy of formation, eV/atom: 0.22

a b c (Å): 3.0749 5.2025 5.4948
angles (deg): 90.00 90.00 90.00
Last column: nearest neighbours and their distance in Å.
Space group Cmmm (No. 65)
Unique sites:
Zr1 0.0000 0.0000 0.0000 (multiplicity 2)  6 Zr 3.02-3.07, 4 U 3.15
U1 0.0000 0.5000 0.5000 (multiplicity 2)  6 U 3.02-3.07, 4 Zr 3.15

## Rb2Na5TlCd2 (PBE)

Data for a relaxed structure of Rb2Na5TlCd2.

Properties
Energy of formation, eV/atom: -0.02

a b c (Å): 13.1606 13.1606 4.4103
angles (deg): 90.00 90.00 90.00
Last column: nearest neighbours and their distance in Å.
Space group P4/mbm (No. 127)
Unique sites:
Rb1 0.1741 0.3259 0.0000 (multiplicity 4)  3 Cd 3.72-4.00, 6 Na 3.92-4.14
Na1 0.0000 0.5000 0.5000 (multiplicity 2)  4 Cd 3.22
Na2 0.0607 0.8083 0.5000 (multiplicity 8)  2 Cd 3.37, 2 Tl 3.44, 2 Na 3.74
Tl1 0.0000 0.0000 0.0000 (multiplicity 2)  8 Na 3.44
Cd1 0.1261 0.6261 0.0000 (multiplicity 4)  6 Na 3.22-3.37

## FeCu8Pd6 (PBE)

Data for a relaxed structure of FeCu8Pd6.

Properties
Energy of formation, eV/atom: 0.19

a b c (Å): 9.7763 9.7763 2.6680
angles (deg): 90.00 90.00 120.00
Last column: nearest neighbours and their distance in Å.
Space group P-3 (No. 147)
Unique sites:
Fe1 0.0000 0.0000 0.0000 (multiplicity 1)  6 Cu 2.46, 2 Fe 2.67
Cu1 0.0679 0.8030 0.2944 (multiplicity 6)  1 Fe 2.46, 3 Pd 2.56-2.65, 4 Cu 2.57-2.67
Cu2 0.3333 0.6667 0.7317 (multiplicity 2)  6 Pd 2.56, 2 Cu 2.67
Pd1 0.0955 0.4600 0.2330 (multiplicity 6)  5 Cu 2.56-2.65, 4 Pd 2.67-2.75

## Nd5Tl8In (PBE)

Data for a relaxed structure of Nd5Tl8In.

Properties
Energy of formation, eV/atom: -0.22

a b c (Å): 9.6119 9.6119 9.2739
angles (deg): 90.00 90.00 90.00
Last column: nearest neighbours and their distance in Å.
Space group I-4 (No. 82)
Unique sites:
Nd1 0.0000 0.0000 0.0000 (multiplicity 2)  8 Tl 3.26-3.28
Nd2 0.1152 0.2586 0.6348 (multiplicity 8)  8 Tl 3.25-3.40
Tl1 0.0729 0.1749 0.2945 (multiplicity 8)  1 In 3.23, 5 Nd 3.28-3.40, 1 Tl 3.30
Tl2 0.0845 0.3281 0.9762 (multiplicity 8)  1 In 3.14, 5 Nd 3.25-3.35, 1 Tl 3.30
In1 0.0000 0.5000 0.2500 (multiplicity 2)  8 Tl 3.14-3.23

Number 1: spin magnetization 0.00 μB/f.u., D(E_F) 8.2 states/eV per cell. Number 2: spin magnetization 0.00 μB/f.u., D(E_F) 13.8 states/eV per cell. Number 3: spin magnetization 0.00 μB/f.u., D(E_F) 3.7 states/eV per cell. Number 4: spin magnetization 0.92 μB/f.u., D(E_F) 22.7 states/eV per cell. Number 5: spin magnetization 0.98 μB/f.u., D(E_F) 16.2 states/eV per cell. Number 6: spin magnetization 7.06 μB/f.u., D(E_F) 51.1 states/eV per cell. Number 7: spin magnetization 0.00 μB/f.u., D(E_F) 4.9 states/eV per cell. Number 8: spin magnetization 0.00 μB/f.u., D(E_F) 12.8 states/eV per cell. Number 9: spin magnetization 1.44 μB/f.u., D(E_F) 10.3 states/eV per cell. Number 10: spin magnetization 0.00 μB/f.u., D(E_F) 9.4 states/eV per cell. Number 11: spin magnetization 3.17 μB/f.u., D(E_F) 10.9 states/eV per cell. Number 12: spin magnetization 0.00 μB/f.u., D(E_F) 23.4 states/eV per cell.